Entry 1:
Nb3AlIr after structural relaxation. Source: the Alexandria database, functional GGA-PBE.

Unit cell a=4.6110 b=4.6110 c=4.6110 alpha=90.00 beta=90.00 gamma=90.00
Closest atoms and distances in Å follow each position.
Space group Pm-3m (No. 221)
Asymmetric unit:
Nb: 0.0000 0.0000 0.5000  2 Al 2.31
Al: 0.0000 0.0000 0.0000  6 Nb 2.31
Ir: 0.5000 0.5000 0.5000  12 Nb 3.26

- magnetization (μB per cell) = 0.00
- total energy (hartree per atom) = -0.270
- mass density (kg/m3) = 8434
- offset from the most stable computed form (meV/atom) = 353

Entry 2:
CaBiAu after structural relaxation. Source: the Alexandria database, functional GGA-PBE.

Unit cell a=4.7349 b=4.7349 c=4.4190 alpha=90.00 beta=90.00 gamma=120.00
Closest atoms and distances in Å follow each position.
Space group P3m1 (No. 156)
Asymmetric unit:
Ca: 0.0000 0.0000 0.0000  3 Au 3.19, 3 Bi 3.46
Bi: 0.3333 0.6667 0.4794  3 Au 2.81
Au: 0.6667 0.3333 0.6284  3 Bi 2.81

- magnetization (μB per cell) = 0.00
- total energy (hartree per atom) = -0.134
- mass density (kg/m3) = 8632

Entry 3:
In5Tc after structural relaxation. Source: the Alexandria database, functional GGA-PBE.

Unit cell a=8.3082 b=8.3082 c=8.3082 alpha=90.00 beta=90.00 gamma=90.00
Closest atoms and distances in Å follow each position.
Space group F-43m (No. 216)
Asymmetric unit:
In: 0.0000 0.0000 0.0000  12 In 3.45, 4 Tc 3.60
In: 0.1245 0.1245 0.6245  6 In 2.93-2.95
Tc: 0.2500 0.2500 0.2500  16 In 3.44-3.60

- magnetization (μB per cell) = 6.15
- total energy (hartree per atom) = -0.124
- mass density (kg/m3) = 7784
- offset from the most stable computed form (meV/atom) = 420

Entry 4:
AlV2C after structural relaxation. Source: the Alexandria database, functional GGA-PBE.

Unit cell a=2.6581 b=2.6581 c=6.5522 alpha=90.00 beta=90.00 gamma=90.00
Closest atoms and distances in Å follow each position.
Space group P4/mmm (No. 123)
Asymmetric unit:
Al: 0.0000 0.0000 0.0000  4 Al 2.66, 8 V 2.83
V: 0.5000 0.5000 0.3222  4 C 2.21, 1 V 2.33
C: 0.0000 0.0000 0.5000  8 V 2.21

- magnetization (μB per cell) = 0.00
- total energy (hartree per atom) = -0.290
- mass density (kg/m3) = 5053